[1]
ZnGe2As3 | the Alexandria database | PBE | relaxed; formation energy = -0.04 eV per atom; space group = Cc; E = -4.11 eV per atom
1.0
-0.6643 1.2685 -6.8662
-1.3254 -6.3917 2.5660
-5.9150 3.6649 2.5618
Zn Ge As
2 4 6
direct
0.1074 0.9385 0.5143 Zn
0.9385 0.1074 0.0143 Zn
0.5934 0.4271 0.0156 Ge
0.7691 0.2614 0.5060 Ge
0.4271 0.5934 0.5156 Ge
0.2614 0.7691 0.0060 Ge
0.0505 0.2099 0.3725 As
0.2099 0.0505 0.8725 As
0.8802 0.3819 0.8744 As
0.3819 0.8802 0.3744 As
0.5542 0.7214 0.8885 As
0.7214 0.5542 0.3885 As

---

[2]
ZnGeAs2 | the Alexandria database | PBE | relaxed; formation energy = 0.09 eV per atom; space group = P-1; E = -3.71 eV per atom
1.0
-0.4273 -6.5447 -0.5989
3.5930 1.4091 5.3344
-4.7181 2.6156 -0.3049
Zn Ge As
2 2 4
direct
0.1260 0.8764 0.7524 Zn
0.8740 0.1236 0.2476 Zn
0.6262 0.3756 0.7520 Ge
0.3738 0.6244 0.2480 Ge
0.6263 0.3758 0.2518 As
0.8735 0.1249 0.7481 As
0.1265 0.8751 0.2519 As
0.3737 0.6242 0.7482 As

---

[3]
ZnGeAs | the Alexandria database | PBE | relaxed; formation energy = 0.09 eV per atom; space group = C2/m; E = -3.42 eV per atom
1.0
-2.4756 -0.1585 3.1964
-3.6538 -0.6226 -1.6226
5.0526 -6.7251 -0.5875
Ge Zn As
2 2 2
direct
0.7680 0.7680 0.5570 Ge
0.2320 0.2320 0.4430 Ge
0.6782 0.6782 0.8622 Zn
0.3218 0.3218 0.1378 Zn
0.2214 0.2214 0.7897 As
0.7786 0.7786 0.2103 As

---

What is the E in the first record?
-4.11 eV per atom